# 1
Computed, not measured: a relaxed PmEu2Dy crystal at the PBE level of DFT.

Cell lengths 5.890, 5.890, 5.890 Å; angles 60.00, 60.00, 60.00 degrees
Each line ends with the local moment (μB).
Sites, in units of the cell vectors:
1 Eu 0.750 0.750 0.750  -6.84
2 Eu 0.250 0.250 0.250  -6.84
3 Pm 0.500 0.500 0.500  -0.07
4 Dy 0.000 0.000 0.000  -0.10

Mass density in kg/m3: 7026
Magnetic moment in μB/cell: 14.519
E_form in eV per formula unit: 0.61
Energy above the lowest structure with this stoichiometry in kJ/mol of atoms: 4.4

***

# 2
Computed, not measured: a relaxed DyMgNiPt crystal at the PBE level of DFT.

Cell lengths 4.678, 4.678, 4.678 Å; angles 60.00, 60.00, 60.00 degrees
Sites, in units of the cell vectors:
1 Pt 0.750 0.750 0.750
2 Dy 0.500 0.500 0.500
3 Mg 0.000 0.000 0.000
4 Ni 0.250 0.250 0.250

Mass density in kg/m3: 10109
Magnetic moment in μB/cell: 0.000
E_form in eV per formula unit: -2.70